1.
Computed, not measured: a relaxed Sm5Te2Pt crystal at the GGA-PBE level of DFT.

The structure in CIF format:
```
data_Sm5Te2Pt
_space_group_name_H-M_alt 'C m c m'
_space_group_IT_number 63
_space_group_name_Hall '-C 2c 2'
_cell_length_a 6.0341
_cell_length_b 12.2972
_cell_length_c 14.1151
_cell_angle_alpha 90.00
_cell_angle_beta 90.00
_cell_angle_gamma 90.00
loop_
_atom_site_label
_atom_site_type_symbol
_atom_site_fract_x
_atom_site_fract_y
_atom_site_fract_z
Sm1 Sm 0.0000 0.0612 0.1171
Sm2 Sm 0.0000 0.3336 0.7500
Sm3 Sm 0.0000 0.3839 0.0981
Te1 Te 0.0000 0.1946 0.5688
Pt1 Pt 0.0000 0.2273 0.2500
```

Properties
As for the magnetization: 0.0 μB per formula unit. The uncorrected energy comes out at -42.0 eV per formula unit. Its energy relative to the elements, uncorrected is -0.7553 eV per atom.

=====

2.
Computed, not measured: a relaxed SmTePt crystal at the GGA-PBE level of DFT.

The structure in CIF format:
```
data_SmTePt
_space_group_name_H-M_alt 'C 1 2/m 1'
_space_group_IT_number 12
_space_group_name_Hall '-C 2y'
_cell_length_a 5.9229
_cell_length_b 5.5538
_cell_length_c 10.0631
_cell_angle_alpha 90.00
_cell_angle_beta 92.47
_cell_angle_gamma 90.00
loop_
_atom_site_label
_atom_site_type_symbol
_atom_site_fract_x
_atom_site_fract_y
_atom_site_fract_z
Sm1 Sm 0.2253 0.0000 0.2065
Te1 Te 0.2416 0.0000 0.6441
Pt1 Pt 0.1722 0.5000 0.0869
```

Properties
As for the magnetization: 0.0 μB per formula unit. The uncorrected energy comes out at -16.9 eV per formula unit. Its energy relative to the elements, uncorrected is -1.0146 eV per atom.